An optimized crystal structure of HoTl2Cl6, computed with PBE.

**Calculated total energy**: -32.87 eV for the cell shown
**Symmetry**: No. 38
**Uncorrected formation energy**: -1386 meV/atom

Cell lengths 3.8773, 8.6087, 8.6087 Å; angles 125.42, 90.00, 90.00 degrees
With the nearest neighbours (Å) after each atom.
Element x y z (fractional)
1 Ho 0.0000 0.0000 0.0000  7 Cl 2.70-2.80
2 Tl 0.5000 0.3597 0.6961  8 Cl 3.02-3.36
3 Tl 0.5000 0.6961 0.3597  8 Cl 3.02-3.36
4 Cl 0.0000 0.0351 0.4602  4 Tl 3.02-3.18
5 Cl 0.0000 0.4602 0.0351  4 Tl 3.02-3.18
6 Cl 0.0000 0.6455 0.6455  1 Ho 2.80
7 Cl 0.5000 0.0324 0.8018  2 Ho 2.70
8 Cl 0.5000 0.2536 0.2536  2 Ho 2.79
9 Cl 0.5000 0.8018 0.0324  2 Ho 2.70